## LiYPd6 (GGA-PBE)

Data for a relaxed LiYPd6 crystal.

abc: 5.4027 5.4027 7.2146
angles: 68.01 68.01 60.00
With the nearest neighbours (Å) after each atom.
Positions (direct):
Li  0.0000  0.0000  0.0000  6 Pd 2.48
Y  0.5000  0.5000  0.5000  12 Pd 3.02
Pd  0.9288  0.9288  0.7066  1 Li 2.48, 5 Pd 2.66-2.74
Pd  0.4357  0.9288  0.7066  1 Li 2.48, 5 Pd 2.66-2.74
Pd  0.0712  0.5643  0.2934  1 Li 2.48, 5 Pd 2.66-2.74
Pd  0.5643  0.0712  0.2934  1 Li 2.48, 5 Pd 2.66-2.74
Pd  0.0712  0.0712  0.2934  1 Li 2.48, 5 Pd 2.66-2.74
Pd  0.9288  0.4357  0.7066  1 Li 2.48, 5 Pd 2.66-2.74

The energy above the most stable polymorph in this dataset comes out at 0.450 eV per atom. The value obtained for the density of states at the Fermi level is 8.70 states/eV per cell. As for the total moment: 0.0 μB/f.u. The space group is No. 166. The formation enthalpy at 0 K comes out at -0.08 eV per atom.